NaThPd4 | PBE | optimized geometry

Cell: 5.437 5.437 5.437 Å, 60.00 60.00 60.00°
Atoms (fractional coordinates):
1 Na 0.250 0.250 0.250
2 Pd 0.126 0.625 0.625
3 Pd 0.625 0.625 0.126
4 Pd 0.625 0.625 0.625
5 Pd 0.625 0.126 0.625
6 Th 0.000 0.000 0.000

Calculated values
DFT formation energy: -0.585 eV/atom
Electronic total energy: -5.50 eV per atom